No. 1
GaBTeN2: optimized geometry, PBE.

a b c (Å): 3.6461 3.6461 7.7287
angles (deg): 90.00 90.00 90.00
Closest atoms and distances in Å follow each position.
Atoms (fractional coordinates):
B: 0.5000 0.5000 0.5000  4 Te 2.58
Te: 0.0000 0.0000 0.5000  4 B 2.58
Ga: 0.0000 0.0000 0.0000  4 N 1.82
N: 0.0000 0.5000 0.0000  2 Ga 1.82
N: 0.5000 0.0000 0.0000  2 Ga 1.82

Results
Energy above the lowest structure with this stoichiometry in eV per atom: 0.253
Space-group type: P4/mmm
E in eV per atom: -4.13
Formation energy from raw total energies in eV/f.u.: 8.84

=====

No. 2
DyHoGeIr: optimized geometry, PBE.

a b c (Å): 4.0898 4.0832 5.6942
angles (deg): 90.00 111.05 90.00
Closest atoms and distances in Å follow each position.
Atoms (fractional coordinates):
Dy: 0.1434 0.0000 0.2868  3 Ir 2.94-3.14, 4 Ge 2.98
Ho: 0.8622 0.5000 0.7244  4 Ir 2.95, 3 Ge 3.05-3.06
Ge: 0.5746 0.5000 0.1491  2 Ir 2.62
Ir: 0.4198 0.0000 0.8396  2 Ge 2.62

Results
Energy above the lowest structure with this stoichiometry in eV per atom: 0.000
Space-group type: Amm2
E in eV per atom: -6.53
ΔE_f in eV per atom: -0.867